The following is a PBE with a Hubbard U calculation of a relaxed B2MoO6 crystal, from Alexandria via LeMat-Bulk.

Values from the calculation:
DFT total energy	-134.8	eV for the cell shown
density of states at the Fermi level	0.0	states/eV per cell

Structure (extended XYZ):
```
18
Lattice="4.226 0.081 1.480 2.271 6.900 -0.064 -0.159 -0.121 7.262" Properties=species:S:1:pos:R:3 pbc="T T T"
O 2.487 0.188 6.215
O 2.078 5.071 0.339
O 4.260 1.789 8.338
O 1.292 2.058 1.726
O 5.352 5.324 4.586
O 5.046 4.802 6.951
O 3.184 1.460 3.131
O 0.986 1.536 4.091
O 3.851 6.672 2.461
O 3.153 5.400 5.546
O 3.849 3.742 2.571
O 2.489 3.118 6.106
Mo 1.500 1.641 5.814
Mo 4.838 5.219 2.863
B 1.815 1.303 2.779
B 2.106 4.640 6.073
B 4.231 2.220 2.604
B 4.523 5.557 5.898
```